(1)
A relaxed structure of TbAl2Ga2Ni. Source: OQMD, functional PBE-GGA.

Properties
- VASP energy: -26.9 eV per formula unit
- Spin magnetization: 0.000 μB per atom
- Symmetry: Cmcm

a b c (Å): 7.968 7.968 6.540
angles (deg): 90.00 90.00 150.12
Element x y z (fractional)
Al 0.000 0.000 0.000
Al 0.574 0.426 0.250
Al 0.000 0.000 0.500
Al 0.426 0.574 0.750
Ga 0.184 0.816 0.051
Ga 0.184 0.816 0.449
Ga 0.816 0.184 0.551
Ga 0.816 0.184 0.949
Ni 0.725 0.275 0.250
Ni 0.275 0.725 0.750
Tb 0.380 0.620 0.250
Tb 0.620 0.380 0.750

=====

(2)
A relaxed structure of Er4Ni3Pt. Source: OQMD, functional PBE-GGA.

Properties
- Spin magnetization: 0.001 μB per atom
- Symmetry: Pm
- Formation energy from the elements: -540 kJ/mol of formula units

a b c (Å): 5.398 4.270 6.928
angles (deg): 90.00 90.16 90.00
Element x y z (fractional)
Er 0.364 0.000 0.184
Er 0.864 0.500 0.323
Er 0.137 0.000 0.678
Er 0.632 0.500 0.816
Ni 0.370 0.500 0.464
Ni 0.629 0.000 0.536
Ni 0.143 0.500 0.958
Pt 0.861 0.000 0.039

=====

(3)
A relaxed structure of TmUCo. Source: OQMD, functional PBE-GGA.

Properties
- Spin magnetization: 0.014 μB per atom
- Symmetry: F-43m
- Formation energy from the elements: 122 kJ/mol of formula units

a b c (Å): 4.570 4.570 4.570
angles (deg): 60.00 60.00 60.00
Element x y z (fractional)
Co 0.000 0.000 0.000
Tm 0.250 0.250 0.250
U 0.750 0.750 0.750

=====

(4)
A relaxed structure of AgI. Source: OQMD, functional PBE-GGA.

Properties
- VASP energy: -4.9 eV per formula unit
- Symmetry: R3m

a b c (Å): 11.655 11.655 11.655
angles (deg): 23.18 23.18 23.18
Element x y z (fractional)
Ag 0.000 0.000 0.000
Ag 0.556 0.556 0.556
Ag 0.778 0.778 0.778
I 0.472 0.472 0.472
I 0.694 0.694 0.694
I 0.916 0.916 0.916

=====

(5)
A relaxed structure of Pt. Source: OQMD, functional PBE-GGA.

Properties
- Spin magnetization: 0.010 μB per atom
- Symmetry: R-3m
- Formation energy from the elements: 45 kJ/mol of formula units

a b c (Å): 3.538 3.538 3.850
angles (deg): 62.65 117.35 120.00
Element x y z (fractional)
Pt 0.750 0.250 0.250
Pt 0.250 0.750 0.750

=====

(6)
A relaxed structure of Y3Mg3Al2Au. Source: OQMD, functional PBE-GGA.

Properties
- VASP energy: -39.1 eV per formula unit
- Spin magnetization: 0.005 μB per atom
- Symmetry: P-62m

a b c (Å): 7.455 7.455 4.351
angles (deg): 90.00 90.00 120.00
Element x y z (fractional)
Al 0.667 0.333 0.000
Al 0.333 0.667 0.000
Au 0.000 0.000 0.500
Mg 0.242 0.000 0.000
Mg 0.000 0.242 0.000
Mg 0.758 0.758 0.000
Y 0.585 0.000 0.500
Y 0.415 0.415 0.500
Y 0.000 0.585 0.500

=====

(7)
A relaxed structure of AgTePtO. Source: OQMD, functional PBE-GGA.

Properties
- VASP energy: -16.8 eV per formula unit
- Spin magnetization: 0.003 μB per atom
- Symmetry: P4/nmm

a b c (Å): 4.034 4.034 9.470
angles (deg): 90.00 90.00 90.00
Element x y z (fractional)
Ag 0.750 0.750 0.428
Ag 0.250 0.250 0.572
O 0.750 0.250 0.500
O 0.250 0.750 0.500
Pt 0.750 0.750 0.133
Pt 0.250 0.250 0.867
Te 0.250 0.250 0.144
Te 0.750 0.750 0.856

=====

(8)
A relaxed structure of PrBiPb2O6. Source: OQMD, functional PBE-GGA.

Properties
- VASP energy: -60.1 eV per formula unit
- Spin magnetization: 0.000 μB per atom
- Symmetry: P-1

a b c (Å): 5.384 5.540 5.888
angles (deg): 96.02 90.59 104.09
Element x y z (fractional)
Bi 0.500 0.500 0.000
O 0.241 0.723 0.056
O 0.714 0.761 0.267
O 0.308 0.305 0.272
O 0.692 0.695 0.728
O 0.286 0.239 0.733
O 0.759 0.277 0.944
Pb 0.309 0.704 0.463
Pb 0.691 0.296 0.537
Pr 0.000 0.000 0.000

=====

(9)
A relaxed structure of Cu5Ag4. Source: OQMD, functional PBE-GGA.

Properties
- Symmetry: Cm
- Formation energy from the elements: 78 kJ/mol of formula units

a b c (Å): 7.031 7.031 7.642
angles (deg): 117.67 117.67 23.21
Element x y z (fractional)
Ag 0.325 0.325 0.014
Ag 0.553 0.553 0.307
Ag 0.236 0.236 0.335
Ag 0.115 0.115 0.671
Cu 0.906 0.906 0.365
Cu 0.443 0.443 0.669
Cu 0.789 0.789 0.676
Cu 0.988 0.988 0.969
Cu 0.645 0.645 0.994

=====

(10)
A relaxed structure of MgBeAl2Cu4. Source: OQMD, functional PBE-GGA.

Properties
- VASP energy: -28.8 eV per formula unit
- Symmetry: I4_1/amd

a b c (Å): 7.221 7.221 7.221
angles (deg): 132.07 132.07 70.12
Element x y z (fractional)
Al 0.509 0.509 0.000
Al 0.991 0.991 0.000
Al 0.759 0.259 0.500
Al 0.241 0.741 0.500
Be 0.250 0.250 0.000
Be 0.500 0.000 0.500
Cu 0.155 0.625 0.030
Cu 0.375 0.905 0.030
Cu 0.375 0.345 0.470
Cu 0.595 0.625 0.470
Cu 0.155 0.125 0.530
Cu 0.875 0.905 0.530
Cu 0.595 0.125 0.970
Cu 0.875 0.345 0.970
Mg 0.750 0.750 0.000
Mg 0.000 0.500 0.500

=====

(11)
A relaxed structure of CsNd2O4. Source: OQMD, functional PBE-GGA.

Properties
- VASP energy: -47.6 eV per formula unit
- Spin magnetization: 0.143 μB per atom
- Symmetry: Fd-3m

a b c (Å): 7.458 7.458 7.458
angles (deg): 119.99 90.01 119.99
Each line ends with the local moment (μB).
Element x y z (fractional)
Cs 0.000 0.000 0.000  0.04
Cs 0.750 0.500 0.250  0.04
Nd 0.375 0.750 0.125  -0.02
Nd 0.875 0.250 0.625  -0.02
Nd 0.375 0.750 0.625  -0.02
Nd 0.375 0.250 0.625  -0.02
O 0.599 0.199 0.400  0.22
O 0.201 0.801 0.400  0.20
O 0.600 0.801 0.401  0.20
O 0.150 0.301 0.451  0.21
O 0.600 0.199 0.799  0.21
O 0.150 0.699 0.849  0.20
O 0.151 0.301 0.850  0.22
O 0.549 0.699 0.850  0.20

=====

(12)
A relaxed structure of TaInFeHg. Source: OQMD, functional PBE-GGA.

Properties
- VASP energy: -20.8 eV per formula unit
- Spin magnetization: 0.444 μB per atom
- Symmetry: F-43m

a b c (Å): 4.621 4.621 4.621
angles (deg): 60.00 60.00 60.00
Element x y z (fractional)
Fe 0.750 0.750 0.750
Hg 0.500 0.500 0.500
In 0.000 0.000 0.000
Ta 0.250 0.250 0.250